Density functional theory data (PBE) for crystalline TeIrOsPb at its relaxed geometry.

abc: 4.1004 4.1004 5.7273
angles: 90.00 90.00 120.00
Atoms (fractional coordinates):
1 Ir 0.6667 0.3333 0.7132
2 Pb 0.0000 0.0000 0.9641
3 Os 0.6667 0.3333 0.2324
4 Te 0.3333 0.6667 0.4547

Energy relative to the elements, uncorrected = 0.461 eV/atom
Fermi-level density of states = 0.5349 states/eV per atom